(a)
Material: CaScC3
Method: DFT, GGA-PBEsol
State: optimized geometry

Fermi-level density of states	0.3311	states/eV per atom
total magnetic moment	0.00	μB per formula unit
volume	14.4	Å³ per atom
ρ	2.801	g cm⁻³

Unit cell a=4.1559 b=4.1559 c=4.1559 alpha=90.00 beta=90.00 gamma=90.00
Atoms (fractional coordinates):
Sc  0.5000  0.5000  0.5000
Ca  0.0000  0.0000  0.0000
C  0.0000  0.5000  0.0000
C  0.0000  0.0000  0.5000
C  0.5000  0.0000  0.0000

***

(b)
Material: CaScC3
Method: DFT, GGA-PBEsol
State: optimized geometry

Fermi-level density of states	0.6730	states/eV per atom
total magnetic moment	0.00	μB per formula unit
volume	14.7	Å³ per atom
ρ	2.739	g cm⁻³

Unit cell a=4.1872 b=4.1872 c=4.1872 alpha=90.00 beta=90.00 gamma=90.00
Atoms (fractional coordinates):
Sc  0.0000  0.0000  0.0000
Ca  0.5000  0.5000  0.5000
C  0.0000  0.5000  0.0000
C  0.0000  0.0000  0.5000
C  0.5000  0.0000  0.0000

***

Of the structures shown above, (b) is the most stable.